Here is a geometry-optimized Tm3H12Pt5 structure from the Alexandria database. Energies are from PBE.

The space group is Ia-3d (No. 230) and the conventional cell measures 11.777, 11.777 and 11.777 Å, with angles of 90.00, 90.00 and 90.00 degrees. The asymmetric unit holds Tm at (0.000, 0.250, 0.125), H at (0.031, 0.051, 0.644), Pt at (0.000, 0.000, 0.000) and Pt at (0.000, 0.250, 0.375).

For the total energy, the calculation gives -4.493 eV/atom. The volume comes out at 204 Å³/f.u.


Here is a geometry-optimized Cs2KCdSb structure from the Alexandria database. Energies are from PBE.

The space group is P4/mmm (No. 123) and the conventional cell measures 7.720, 7.720 and 5.658 Å, with angles of 90.00, 90.00 and 90.00 degrees. The asymmetric unit holds Cs at (0.000, 0.500, 0.000), K at (0.000, 0.000, 0.500), Cd at (0.500, 0.500, 0.500) and Sb at (0.500, 0.500, 0.000).

For the energy above the most stable polymorph in this dataset, the calculation gives 0.036 eV/f.u. Its formation energy without anion corrections is -0.43 eV/f.u. For the total energy, the calculation gives -1.655 eV/atom. The volume comes out at 337 Å³/f.u.


Here is a geometry-optimized CoMoH structure from the Alexandria database. Energies are from PBE.

The space group is C2/m (No. 12) and the conventional cell measures 8.971, 2.687 and 4.730 Å, with angles of 90.00, 99.37 and 90.00 degrees. The asymmetric unit holds Co at (0.119, 0.000, 0.373), Mo at (0.114, 0.500, 0.852) and H at (0.236, 0.500, 0.276).

For the energy above the most stable polymorph in this dataset, the calculation gives 0.000 eV/f.u. For the total energy, the calculation gives -7.078 eV/atom. The volume comes out at 28 Å³/f.u.


Here is a geometry-optimized LaEuP2 structure from the Alexandria database. Energies are from PBE.

The space group is R-3m (No. 166, hexagonal axes) and the conventional cell measures 4.2388, 4.2388 and 20.6424 Å, with angles of 90.00, 90.00 and 120.00 degrees. The asymmetric unit holds La at (0.0000, 0.0000, 0.0000), Eu at (0.0000, 0.0000, 0.5000) and P at (0.0000, 0.0000, 0.2491).

For the total energy, the calculation gives -7.802 eV/atom. For the formation energy, the calculation gives -1297 meV per atom. The volume comes out at 107 Å³/f.u.


Here is a geometry-optimized Ca2La5Pr4 structure from the Alexandria database. Energies are from PBE.

The space group is C2/m (No. 12) and the conventional cell measures 19.043, 5.332 and 8.394 Å, with angles of 90.00, 105.16 and 90.00 degrees. The asymmetric unit holds Ca at (0.044, 0.000, 0.228), La at (0.000, 0.500, 0.500), La at (0.184, 0.500, 0.417), La at (0.229, 0.000, 0.133), Pr at (0.095, 0.500, 0.951) and Pr at (0.141, 0.000, 0.689).

For the total energy, the calculation gives -4.300 eV/atom. For the formation energy, the calculation gives 42 meV per atom. The volume comes out at 411 Å³/f.u.


Here is a geometry-optimized MnBeBr structure from the Alexandria database. Energies are from PBE.

The space group is P-6m2 (No. 187) and the conventional cell measures 4.2604, 4.2604 and 3.1224 Å, with angles of 90.00, 90.00 and 120.00 degrees. The asymmetric unit holds Mn at (0.0000, 0.0000, 0.0000), Be at (0.6667, 0.3333, 0.5000) and Br at (0.3333, 0.6667, 0.0000).

For the energy above the most stable polymorph in this dataset, the calculation gives 1.175 eV/f.u. Its formation energy without anion corrections is 2.47 eV/f.u. For the total energy, the calculation gives -4.033 eV/atom. The volume comes out at 49 Å³/f.u.


Here is a geometry-optimized TaRhPb structure from the Alexandria database. Energies are from PBE.

The space group is P3m1 (No. 156) and the conventional cell measures 3.2033, 3.2033 and 6.8440 Å, with angles of 90.00, 90.00 and 120.00 degrees. The asymmetric unit holds Ta at (0.0000, 0.0000, 0.0000), Rh at (0.3333, 0.6667, 0.7396) and Pb at (0.6667, 0.3333, 0.3782).

For the total energy, the calculation gives -7.475 eV/atom. For the formation energy, the calculation gives 163 meV per atom. The volume comes out at 61 Å³/f.u.


Here is a geometry-optimized LaSbRh4 structure from the Alexandria database. Energies are from PBE.

The space group is Pmma (No. 51) and the conventional cell measures 7.613, 4.142 and 7.185 Å, with angles of 90.00, 90.00 and 90.00 degrees. The asymmetric unit holds La at (0.250, 0.000, 0.169), Sb at (0.250, 0.000, 0.736), Rh at (0.000, 0.000, 0.500), Rh at (0.043, 0.500, 0.793) and Rh at (0.250, 0.500, 0.456).

For the energy above the most stable polymorph in this dataset, the calculation gives 0.073 eV/f.u. Its formation energy without anion corrections is -2.27 eV/f.u. For the total energy, the calculation gives -6.787 eV/atom. The volume comes out at 113 Å³/f.u.


Here is a geometry-optimized RuPtO4 structure from the Alexandria database. Energies are from PBE.

The space group is P2_1/c (No. 14) and the conventional cell measures 5.592, 4.548 and 5.584 Å, with angles of 90.00, 110.76 and 90.00 degrees. The asymmetric unit holds Ru at (0.000, 0.000, 0.000), Pt at (0.500, 0.000, 0.500), O at (0.151, 0.204, 0.342) and O at (0.337, 0.698, 0.656).

Its formation energy without anion corrections is -4.31 eV/f.u. For the total energy, the calculation gives -6.576 eV/atom. The volume comes out at 66 Å³/f.u.


Here is a geometry-optimized Li2IrF5 structure from the Alexandria database. Energies are from PBE.

The space group is Cmcm (No. 63) and the conventional cell measures 3.975, 10.234 and 10.414 Å, with angles of 90.00, 90.00 and 90.00 degrees. The asymmetric unit holds Li at (0.000, 0.122, 0.068), Ir at (0.000, 0.195, 0.750), F at (0.000, 0.061, 0.608), F at (0.000, 0.267, 0.250) and F at (0.000, 0.326, 0.601).

Its formation energy without anion corrections is -16.70 eV/f.u. For the total energy, the calculation gives -4.843 eV/atom. The volume comes out at 106 Å³/f.u.


Here is a geometry-optimized Er4Al structure from the Alexandria database. Energies are from PBE.

The space group is Fd-3m (No. 227, origin choice 2) and the conventional cell measures 11.049, 11.049 and 11.049 Å, with angles of 90.00, 90.00 and 90.00 degrees. The asymmetric unit holds Er at (0.019, 0.019, 0.231) and Al at (0.125, 0.125, 0.625).

For the energy above the most stable polymorph in this dataset, the calculation gives 3.320 eV/f.u. For the total energy, the calculation gives -3.887 eV/atom. For the formation energy, the calculation gives 512 meV per atom. The volume comes out at 169 Å³/f.u.


Here is a geometry-optimized Ca2P3PdPt12 structure from the Alexandria database. Energies are from PBE.

The space group is R-3m (No. 166, hexagonal axes) and the conventional cell measures 8.2514, 8.2514 and 17.8207 Å, with angles of 90.00, 90.00 and 120.00 degrees. The asymmetric unit holds Ca at (0.0000, 0.0000, 0.1052), P at (0.0000, 0.5000, 0.0000), Pd at (0.0000, 0.0000, 0.5000), Pt at (0.0080, 0.5040, 0.8736) and Pt at (0.0366, 0.5183, 0.3625).

For the total energy, the calculation gives -5.716 eV/atom. For the formation energy, the calculation gives -276 meV per atom. The volume comes out at 350 Å³/f.u.


Here is a geometry-optimized Ca3Pr2Cd4 structure from the Alexandria database. Energies are from PBE.

The space group is P-3m1 (No. 164) and the conventional cell measures 5.4519, 5.4519 and 10.5289 Å, with angles of 90.00, 90.00 and 120.00 degrees. The asymmetric unit holds Ca at (0.0000, 0.0000, 0.0000), Ca at (0.3333, 0.6667, 0.4166), Pr at (0.3333, 0.6667, 0.7953), Cd at (0.0000, 0.0000, 0.3403) and Cd at (0.3333, 0.6667, 0.1041).

For the energy above the most stable polymorph in this dataset, the calculation gives 0.000 eV/f.u. For the total energy, the calculation gives -2.416 eV/atom. For the formation energy, the calculation gives -280 meV per atom. The volume comes out at 271 Å³/f.u.


Here is a geometry-optimized PrSm6Y2 structure from the Alexandria database. Energies are from PBE.

The space group is P-3m1 (No. 164) and the conventional cell measures 7.5269, 7.5269 and 6.2367 Å, with angles of 90.00, 90.00 and 120.00 degrees. The asymmetric unit holds Pr at (0.0000, 0.0000, 0.0000), Sm at (0.1875, 0.3749, 0.2949) and Y at (0.3333, 0.6667, 0.7885).

For the energy above the most stable polymorph in this dataset, the calculation gives 0.184 eV/f.u. For the total energy, the calculation gives -4.909 eV/atom. For the formation energy, the calculation gives 205 meV per atom. The volume comes out at 306 Å³/f.u.


Here is a geometry-optimized Sr2GaPtBr structure from the Alexandria database. Energies are from PBE.

The space group is P4/mmm (No. 123) and the conventional cell measures 5.976, 5.976 and 4.734 Å, with angles of 90.00, 90.00 and 90.00 degrees. The asymmetric unit holds Sr at (0.000, 0.500, 0.000), Ga at (0.000, 0.000, 0.500), Pt at (0.000, 0.000, 0.000) and Br at (0.500, 0.500, 0.500).

Its formation energy without anion corrections is -4.84 eV/f.u. For the total energy, the calculation gives -3.790 eV/atom. The volume comes out at 169 Å³/f.u.


Here is a geometry-optimized HoLu2Ru structure from the Alexandria database. Energies are from PBE.

The space group is P4/mmm (No. 123) and the conventional cell measures 3.376, 3.376 and 8.663 Å, with angles of 90.00, 90.00 and 90.00 degrees. The asymmetric unit holds Ho at (0.000, 0.000, 0.000), Lu at (0.500, 0.500, 0.315) and Ru at (0.000, 0.000, 0.500).

For the energy above the most stable polymorph in this dataset, the calculation gives 0.000 eV/f.u. For the total energy, the calculation gives -6.016 eV/atom. For the formation energy, the calculation gives -292 meV per atom. The volume comes out at 99 Å³/f.u.


Here is a geometry-optimized TcGe2PdRu structure from the Alexandria database. Energies are from PBE.

The space group is P4/mmm (No. 123) and the conventional cell measures 4.727, 4.727 and 4.673 Å, with angles of 90.00, 90.00 and 90.00 degrees. The asymmetric unit holds Tc at (0.000, 0.000, 0.000), Ge at (0.000, 0.500, 0.000), Pd at (0.500, 0.500, 0.500) and Ru at (0.000, 0.000, 0.500).

For the total energy, the calculation gives -5.925 eV/atom. For the formation energy, the calculation gives 889 meV per atom. The volume comes out at 104 Å³/f.u.


Here is a geometry-optimized Cs2DyI5 structure from the Alexandria database. Energies are from PBE.

The space group is I4mm (No. 107) and the conventional cell measures 9.116, 9.116 and 10.910 Å, with angles of 90.00, 90.00 and 90.00 degrees. The asymmetric unit holds Cs at (0.000, 0.500, 0.000), Dy at (0.000, 0.000, 0.211), I at (0.000, 0.000, 0.951) and I at (0.229, 0.229, 0.261).

For the energy above the most stable polymorph in this dataset, the calculation gives 0.311 eV/f.u. Its formation energy without anion corrections is -11.67 eV/f.u. For the total energy, the calculation gives -3.216 eV/atom. The volume comes out at 453 Å³/f.u.


Here is a geometry-optimized BaTaZn structure from the Alexandria database. Energies are from PBE.

The space group is P-6m2 (No. 187) and the conventional cell measures 5.1714, 5.1714 and 3.1815 Å, with angles of 90.00, 90.00 and 120.00 degrees. The asymmetric unit holds Ba at (0.0000, 0.0000, 0.0000), Ta at (0.6667, 0.3333, 0.5000) and Zn at (0.3333, 0.6667, 0.5000).

For the energy above the most stable polymorph in this dataset, the calculation gives 0.995 eV/f.u. For the total energy, the calculation gives -4.108 eV/atom. For the formation energy, the calculation gives 908 meV per atom. The volume comes out at 74 Å³/f.u.


Here is a geometry-optimized Pr3ScBi4 structure from the Alexandria database. Energies are from PBE.

The space group is Cmmm (No. 65) and the conventional cell measures 9.105, 12.888 and 4.563 Å, with angles of 90.00, 90.00 and 90.00 degrees. The asymmetric unit holds Pr at (0.000, 0.000, 0.000), Pr at (0.250, 0.250, 0.500), Sc at (0.000, 0.500, 0.000), Bi at (0.000, 0.258, 0.000) and Bi at (0.234, 0.500, 0.500).

For the total energy, the calculation gives -5.380 eV/atom. For the formation energy, the calculation gives -856 meV per atom. The volume comes out at 268 Å³/f.u.


Here is a geometry-optimized SrPm2PuS4 structure from the Alexandria database. Energies are from PBE.

The space group is P2/m (No. 10) and the conventional cell measures 7.058, 4.054 and 7.070 Å, with angles of 90.00, 109.34 and 90.00 degrees. The asymmetric unit holds Sr at (0.000, 0.000, 0.000), Pm at (0.000, 0.500, 0.500), Pm at (0.500, 0.000, 0.500), Pu at (0.500, 0.500, 0.000), S at (0.257, 0.000, 0.751) and S at (0.258, 0.500, 0.256).

Its formation energy without anion corrections is -15.69 eV/f.u. For the total energy, the calculation gives -7.215 eV/atom. The volume comes out at 191 Å³/f.u.


no.,magnetization (μB per atom)
1,0.00
2,0.00
3,0.00
4,1.57
5,0.00
6,1.03
7,0.00
8,0.00
9,0.00
10,0.00
11,0.00
12,0.00
13,0.00
14,0.10
15,0.00
16,0.00
17,0.00
18,0.00
19,0.00
20,0.00
21,0.73